DFT (GGA-PBE) results for an optimized crystal structure of TlOsS2. Values from VASP.

As for the total energy: -44.3 eV/cell. Its crystal system is tetragonal. The calculation puts the density of states at the Fermi level at 0.712 states/eV per atom. For the energy relative to the elements, uncorrected, the calculation gives -0.074 eV/atom. The energy relative to the lowest polymorph listed for this composition is 0 meV per atom.

The structure in Quantum ESPRESSO input format:
```
&SYSTEM
  ibrav = 0, nat = 8, ntyp = 3
/
ATOMIC_SPECIES
Os 190.23 Os.upf
S 32.06 S.upf
Tl 204.38 Tl.upf
CELL_PARAMETERS angstrom
-6.826 1.847 1.065
-2.132 -5.847 -3.524
-4.500 -3.928 1.982
ATOMIC_POSITIONS angstrom
Os -4.479 -2.000 -1.229
Os -5.556 -5.887 -1.386
S -10.972 -5.781 -0.265
Tl 0.000 0.000 0.000
S -4.086 -4.195 -1.453
S -4.883 -0.768 0.600
Tl -7.903 -2.040 0.909
S -6.977 -5.110 0.164
```